A relaxed ZrCdCl crystal, computed with PBE.

The structure in CIF format:
```
data_ZrCdCl
_space_group_name_H-M_alt 'F -4 3 m'
_space_group_IT_number 216
_space_group_name_Hall 'F -4 2 3'
_cell_length_a 6.488
_cell_length_b 6.488
_cell_length_c 6.488
_cell_angle_alpha 90.00
_cell_angle_beta 90.00
_cell_angle_gamma 90.00
loop_
_atom_site_label
_atom_site_type_symbol
_atom_site_fract_x
_atom_site_fract_y
_atom_site_fract_z
_atom_site_occupancy
Zr1 Zr 0.000 0.000 0.000 1
Cd1 Cd 0.000 0.000 0.500 1
Cl1 Cl 0.250 0.250 0.750 1
```

E_tot ... -42.99 eV for the cell shown
Energy above the most stable polymorph in this dataset ... 906.5 meV per atom
Energy relative to the elements, uncorrected ... 0.1873 eV per atom
DOS(E_F) ... 2.90 states/eV/f.u.

A relaxed DyPa2Fe crystal, computed with PBE.

The structure in CIF format:
```
data_DyPa2Fe
_space_group_name_H-M_alt 'R -3 m'
_space_group_IT_number 166
_space_group_name_Hall '-R 3 2"'
_cell_length_a 3.5775
_cell_length_b 3.5775
_cell_length_c 26.1833
_cell_angle_alpha 90.00
_cell_angle_beta 90.00
_cell_angle_gamma 120.00
loop_
_atom_site_label
_atom_site_type_symbol
_atom_site_fract_x
_atom_site_fract_y
_atom_site_fract_z
_atom_site_occupancy
Dy1 Dy 0.0000 0.0000 0.0000 1
Pa1 Pa 0.0000 0.0000 0.2269 1
Fe1 Fe 0.0000 0.0000 0.5000 1
```

Formation enthalpy at 0 K ... 0.16 eV/f.u.
E_tot ... -95.68 eV for the cell shown
Energy above the most stable polymorph in this dataset ... 0.0 meV per atom
DOS(E_F) ... 6.35 states/eV/f.u.

A relaxed Hf6PdN2 crystal, computed with PBE.

The structure in CIF format:
```
data_Hf6PdN2
_space_group_name_H-M_alt 'R 3'
_space_group_IT_number 146
_space_group_name_Hall 'R 3'
_cell_length_a 5.8322
_cell_length_b 5.8322
_cell_length_c 19.3526
_cell_angle_alpha 90.00
_cell_angle_beta 90.00
_cell_angle_gamma 120.00
loop_
_atom_site_label
_atom_site_type_symbol
_atom_site_fract_x
_atom_site_fract_y
_atom_site_fract_z
_atom_site_occupancy
Hf1 Hf 0.9999 0.6581 0.0000 1
Hf2 Hf 0.0014 0.3465 0.5341 1
Pd1 Pd 0.0000 0.0000 0.4365 1
N1 N 0.0000 0.0000 0.6942 1
N2 N 0.0000 0.0000 0.8371 1
```

E_tot ... -253.61 eV for the cell shown
Energy relative to the elements, uncorrected ... -0.3302 eV per atom
DOS(E_F) ... 7.17 states/eV/f.u.

A relaxed Tl3Cu2Cl9 crystal, computed with PBE.

The structure in CIF format:
```
data_Tl3Cu2Cl9
_space_group_name_H-M_alt 'P -3 m 1'
_space_group_IT_number 164
_space_group_name_Hall '-P 3 2"'
_cell_length_a 6.9018
_cell_length_b 6.9018
_cell_length_c 8.5773
_cell_angle_alpha 90.00
_cell_angle_beta 90.00
_cell_angle_gamma 120.00
loop_
_atom_site_label
_atom_site_type_symbol
_atom_site_fract_x
_atom_site_fract_y
_atom_site_fract_z
_atom_site_occupancy
Tl1 Tl 0.0000 0.0000 0.0000 1
Tl2 Tl 0.3333 0.6667 0.3576 1
Cu1 Cu 0.3333 0.6667 0.8338 1
Cl1 Cl 0.0000 0.5000 0.0000 1
Cl2 Cl 0.1731 0.3461 0.6853 1
```

E_tot ... -40.31 eV for the cell shown
Energy relative to the elements, uncorrected ... -0.5997 eV per atom
DOS(E_F) ... 15.78 states/eV/f.u.

A relaxed Pr3Sm4Sb4 crystal, computed with PBE.

The structure in CIF format:
```
data_Pr3Sm4Sb4
_space_group_name_H-M_alt 'I -4 3 m'
_space_group_IT_number 217
_space_group_name_Hall 'I -4 2 3'
_cell_length_a 9.326
_cell_length_b 9.326
_cell_length_c 9.326
_cell_angle_alpha 90.00
_cell_angle_beta 90.00
_cell_angle_gamma 90.00
loop_
_atom_site_label
_atom_site_type_symbol
_atom_site_fract_x
_atom_site_fract_y
_atom_site_fract_z
_atom_site_occupancy
Pr1 Pr 0.000 0.000 0.500 1
Sm1 Sm 0.138 0.138 0.862 1
Sb1 Sb 0.182 0.182 0.182 1
```

E_tot ... -107.14 eV for the cell shown
Energy relative to the elements, uncorrected ... -0.3514 eV per atom
DOS(E_F) ... 14.60 states/eV/f.u.

A relaxed CaEuTmIn crystal, computed with PBE.

The structure in CIF format:
```
data_CaEuTmIn
_space_group_name_H-M_alt 'F -4 3 m'
_space_group_IT_number 216
_space_group_name_Hall 'F -4 2 3'
_cell_length_a 7.915
_cell_length_b 7.915
_cell_length_c 7.915
_cell_angle_alpha 90.00
_cell_angle_beta 90.00
_cell_angle_gamma 90.00
loop_
_atom_site_label
_atom_site_type_symbol
_atom_site_fract_x
_atom_site_fract_y
_atom_site_fract_z
_atom_site_occupancy
Ca1 Ca 0.000 0.000 0.000 1
Eu1 Eu 0.250 0.250 0.250 1
Tm1 Tm 0.250 0.250 0.750 1
In1 In 0.000 0.000 0.500 1
```

Formation enthalpy at 0 K ... -0.54 eV/f.u.
E_tot ... -80.10 eV for the cell shown
DOS(E_F) ... 8.49 states/eV/f.u.

A relaxed Al2GaSnS6 crystal, computed with PBE.

The structure in CIF format:
```
data_Al2GaSnS6
_space_group_name_H-M_alt 'C 1 2/c 1'
_space_group_IT_number 15
_space_group_name_Hall '-C 2yc'
_cell_length_a 11.424
_cell_length_b 12.430
_cell_length_c 6.879
_cell_angle_alpha 90.00
_cell_angle_beta 113.08
_cell_angle_gamma 90.00
loop_
_atom_site_label
_atom_site_type_symbol
_atom_site_fract_x
_atom_site_fract_y
_atom_site_fract_z
_atom_site_occupancy
Al1 Al 0.114 0.081 0.157 1
Ga1 Ga 0.000 0.320 0.750 1
Sn1 Sn 0.000 0.396 0.250 1
S1 S 0.117 0.079 0.494 1
S2 S 0.133 0.258 0.078 1
S3 S 0.137 0.437 0.672 1
```

E_tot ... -185.27 eV for the cell shown
Energy relative to the elements, uncorrected ... -0.7037 eV per atom
DOS(E_F) ... 2.94 states/eV/f.u.

A relaxed LiGa2Ir crystal, computed with PBE.

The structure in CIF format:
```
data_LiGa2Ir
_space_group_name_H-M_alt 'P 4/m m m'
_space_group_IT_number 123
_space_group_name_Hall '-P 4 2'
_cell_length_a 4.278
_cell_length_b 4.278
_cell_length_c 3.127
_cell_angle_alpha 90.00
_cell_angle_beta 90.00
_cell_angle_gamma 90.00
loop_
_atom_site_label
_atom_site_type_symbol
_atom_site_fract_x
_atom_site_fract_y
_atom_site_fract_z
_atom_site_occupancy
Li1 Li 0.000 0.000 0.000 1
Ga1 Ga 0.000 0.500 0.500 1
Ir1 Ir 0.500 0.500 0.000 1
```

Formation enthalpy at 0 K ... -1.26 eV/f.u.
E_tot ... -18.09 eV for the cell shown
Energy above the most stable polymorph in this dataset ... 179.7 meV per atom
DOS(E_F) ... 1.50 states/eV/f.u.

A relaxed FeCSeBr2 crystal, computed with PBE.

The structure in CIF format:
```
data_FeCSeBr2
_space_group_name_H-M_alt 'P 4/m m m'
_space_group_IT_number 123
_space_group_name_Hall '-P 4 2'
_cell_length_a 4.745
_cell_length_b 4.745
_cell_length_c 4.363
_cell_angle_alpha 90.00
_cell_angle_beta 90.00
_cell_angle_gamma 90.00
loop_
_atom_site_label
_atom_site_type_symbol
_atom_site_fract_x
_atom_site_fract_y
_atom_site_fract_z
_atom_site_occupancy
Fe1 Fe 0.000 0.000 0.000 1
C1 C 0.500 0.500 0.500 1
Se1 Se 0.500 0.500 0.000 1
Br1 Br 0.000 0.500 0.500 1
```

E_tot ... -17.75 eV for the cell shown
Energy above the most stable polymorph in this dataset ... 0.0 meV per atom
Energy relative to the elements, uncorrected ... 1.3540 eV per atom
DOS(E_F) ... 3.97 states/eV/f.u.

A relaxed Ca2BeGe4Pt3 crystal, computed with PBE.

The structure in CIF format:
```
data_Ca2BeGe4Pt3
_space_group_name_H-M_alt 'P -4 m 2'
_space_group_IT_number 115
_space_group_name_Hall 'P -4 -2'
_cell_length_a 4.220
_cell_length_b 4.220
_cell_length_c 10.504
_cell_angle_alpha 90.00
_cell_angle_beta 90.00
_cell_angle_gamma 90.00
loop_
_atom_site_label
_atom_site_type_symbol
_atom_site_fract_x
_atom_site_fract_y
_atom_site_fract_z
_atom_site_occupancy
Ca1 Ca 0.000 0.500 0.242 1
Be1 Be 0.500 0.500 0.000 1
Ge1 Ge 0.000 0.000 0.500 1
Ge2 Ge 0.000 0.500 0.871 1
Ge3 Ge 0.500 0.500 0.500 1
Pt1 Pt 0.000 0.000 0.000 1
Pt2 Pt 0.000 0.500 0.633 1
```

Formation enthalpy at 0 K ... -6.49 eV/f.u.
E_tot ... -50.81 eV for the cell shown
DOS(E_F) ... 3.55 states/eV/f.u.

A relaxed Er8FeRh2 crystal, computed with PBE.

The structure in CIF format:
```
data_Er8FeRh2
_space_group_name_H-M_alt 'C 1 m 1'
_space_group_IT_number 8
_space_group_name_Hall 'C -2y'
_cell_length_a 8.149
_cell_length_b 12.476
_cell_length_c 5.923
_cell_angle_alpha 90.00
_cell_angle_beta 110.86
_cell_angle_gamma 90.00
loop_
_atom_site_label
_atom_site_type_symbol
_atom_site_fract_x
_atom_site_fract_y
_atom_site_fract_z
_atom_site_occupancy
Er1 Er 0.000 0.000 0.000 1
Er2 Er 0.054 0.373 0.790 1
Er3 Er 0.135 0.128 0.589 1
Er4 Er 0.203 0.500 0.362 1
Er5 Er 0.354 0.205 0.177 1
Fe1 Fe 0.355 0.000 0.007 1
Rh1 Rh 0.343 0.312 0.687 1
```

Formation enthalpy at 0 K ... -3.00 eV/f.u.
E_tot ... -125.33 eV for the cell shown
DOS(E_F) ... 11.31 states/eV/f.u.

A relaxed YSi4Ni2 crystal, computed with PBE.

The structure in CIF format:
```
data_YSi4Ni2
_space_group_name_H-M_alt 'P n m a'
_space_group_IT_number 62
_space_group_name_Hall '-P 2ac 2n'
_cell_length_a 16.876
_cell_length_b 3.904
_cell_length_c 6.349
_cell_angle_alpha 90.00
_cell_angle_beta 90.00
_cell_angle_gamma 90.00
loop_
_atom_site_label
_atom_site_type_symbol
_atom_site_fract_x
_atom_site_fract_y
_atom_site_fract_z
_atom_site_occupancy
Y1 Y 0.139 0.250 0.044 1
Si1 Si 0.020 0.750 0.129 1
Si2 Si 0.064 0.250 0.524 1
Si3 Si 0.181 0.750 0.706 1
Si4 Si 0.210 0.750 0.306 1
Ni1 Ni 0.038 0.750 0.744 1
Ni2 Ni 0.208 0.250 0.499 1
```

E_tot ... -172.69 eV for the cell shown
Energy relative to the elements, uncorrected ... -0.4932 eV per atom
DOS(E_F) ... 2.87 states/eV/f.u.

Q: Look up the E_tot of the sixth one.
A: -80.10 eV for the cell shown